[1]
## CuSnSe4 (GGA-PBE)

Data for crystalline CuSnSe4 at its relaxed geometry.

Properties
ΔE_f (raw)	-0.61	eV/f.u.
total magnetic moment	0.00	μB/cell
space group	No. 13
VASP energy	-3.77	eV per atom

CIF file:
```
data_CuSnSe4
_chemical_formula_sum 'Cu2 Sn2 Se8'
_symmetry_space_group_name_H-M 'P 1'
_symmetry_Int_Tables_number 1
_symmetry_space_group_name_Hall 'P 1'
_cell_length_a 5.070
_cell_length_b 7.743
_cell_length_c 7.743
_cell_angle_alpha 90.00
_cell_angle_beta 90.00
_cell_angle_gamma 89.91
loop_
_atom_site_label
_atom_site_fract_x
_atom_site_fract_y
_atom_site_fract_z
_atom_site_occupancy
Se1 0.792 0.948 0.052 1
Se2 0.208 0.552 0.052 1
Se3 0.792 0.448 0.948 1
Se4 0.208 0.052 0.948 1
Se5 0.208 0.947 0.447 1
Se6 0.208 0.447 0.553 1
Se7 0.792 0.553 0.447 1
Se8 0.792 0.053 0.553 1
Sn1 0.500 0.750 0.750 1
Sn2 0.500 0.250 0.250 1
Cu1 0.000 0.750 0.250 1
Cu2 0.000 0.250 0.750 1
```

[2]
## CuSnSe2 (GGA-PBE)

Data for crystalline CuSnSe2 at its relaxed geometry.

Properties
ΔE_f (raw)	-0.69	eV/f.u.
total magnetic moment	0.00	μB/cell
space group	No. 160
VASP energy	-3.94	eV per atom

CIF file:
```
data_CuSnSe2
_chemical_formula_sum 'Cu1 Sn1 Se2'
_symmetry_space_group_name_H-M 'P 1'
_symmetry_Int_Tables_number 1
_symmetry_space_group_name_Hall 'P 1'
_cell_length_a 3.837
_cell_length_b 3.837
_cell_length_c 7.110
_cell_angle_alpha 74.35
_cell_angle_beta 74.35
_cell_angle_gamma 60.00
loop_
_atom_site_label
_atom_site_fract_x
_atom_site_fract_y
_atom_site_fract_z
_atom_site_occupancy
Sn1 0.501 0.501 0.497 1
Se1 0.067 0.067 0.800 1
Se2 0.263 0.263 0.212 1
Cu1 0.670 0.670 0.991 1
```

[3]
## CuSn2Se4 (GGA-PBE)

Data for crystalline CuSn2Se4 at its relaxed geometry.

Properties
ΔE_f (raw)	-2.18	eV/f.u.
total magnetic moment	0.00	μB/cell
space group	No. 15
VASP energy	-4.03	eV per atom

CIF file:
```
data_CuSn2Se4
_chemical_formula_sum 'Cu4 Sn8 Se16'
_symmetry_space_group_name_H-M 'P 1'
_symmetry_Int_Tables_number 1
_symmetry_space_group_name_Hall 'P 1'
_cell_length_a 7.955
_cell_length_b 7.960
_cell_length_c 13.786
_cell_angle_alpha 106.73
_cell_angle_beta 90.00
_cell_angle_gamma 119.98
loop_
_atom_site_label
_atom_site_fract_x
_atom_site_fract_y
_atom_site_fract_z
_atom_site_occupancy
Se1 0.125 0.750 0.375 1
Se2 0.625 0.251 0.875 1
Se3 0.375 0.250 0.125 1
Se4 0.626 0.251 0.375 1
Se5 0.124 0.250 0.875 1
Se6 0.375 0.749 0.125 1
Se7 0.375 0.250 0.625 1
Se8 0.875 0.250 0.625 1
Se9 0.625 0.750 0.375 1
Se10 0.125 0.750 0.875 1
Se11 0.875 0.250 0.125 1
Se12 0.876 0.750 0.125 1
Se13 0.874 0.750 0.625 1
Se14 0.126 0.250 0.375 1
Se15 0.374 0.749 0.625 1
Se16 0.625 0.750 0.875 1
Cu1 0.061 0.624 0.687 1
Cu2 0.437 0.376 0.813 1
Cu3 0.939 0.376 0.313 1
Cu4 0.563 0.624 0.187 1
Sn1 0.500 0.000 0.000 1
Sn2 0.000 0.000 0.000 1
Sn3 0.500 0.500 0.500 1
Sn4 0.251 0.000 0.250 1
Sn5 0.749 0.000 0.750 1
Sn6 0.000 0.000 0.500 1
Sn7 0.500 0.000 0.500 1
Sn8 0.000 0.500 0.000 1
```

[4]
## CuSn2Se4 (GGA-PBE)

Data for crystalline CuSn2Se4 at its relaxed geometry.

Properties
ΔE_f (raw)	-1.86	eV/f.u.
total magnetic moment	0.00	μB/cell
space group	No. 12
VASP energy	-3.99	eV per atom

CIF file:
```
data_CuSn2Se4
_chemical_formula_sum 'Cu1 Sn2 Se4'
_symmetry_space_group_name_H-M 'P 1'
_symmetry_Int_Tables_number 1
_symmetry_space_group_name_Hall 'P 1'
_cell_length_a 3.815
_cell_length_b 7.041
_cell_length_c 8.151
_cell_angle_alpha 123.42
_cell_angle_beta 103.53
_cell_angle_gamma 90.00
loop_
_atom_site_label
_atom_site_fract_x
_atom_site_fract_y
_atom_site_fract_z
_atom_site_occupancy
Sn1 0.266 0.255 0.532 1
Sn2 0.734 0.745 0.468 1
Se1 0.392 0.763 0.784 1
Se2 0.120 0.777 0.239 1
Se3 0.880 0.223 0.761 1
Se4 0.608 0.237 0.216 1
Cu1 0.000 0.000 0.000 1
```

[5]
## Cu2SnSe2 (GGA-PBE)

Data for crystalline Cu2SnSe2 at its relaxed geometry.

Properties
ΔE_f (raw)	-0.65	eV/f.u.
total magnetic moment	0.00	μB/cell
space group	No. 15
VASP energy	-3.96	eV per atom

CIF file:
```
data_Cu2SnSe2
_chemical_formula_sum 'Cu4 Sn2 Se4'
_symmetry_space_group_name_H-M 'P 1'
_symmetry_Int_Tables_number 1
_symmetry_space_group_name_Hall 'P 1'
_cell_length_a 6.842
_cell_length_b 6.842
_cell_length_c 6.303
_cell_angle_alpha 115.88
_cell_angle_beta 115.88
_cell_angle_gamma 101.26
loop_
_atom_site_label
_atom_site_fract_x
_atom_site_fract_y
_atom_site_fract_z
_atom_site_occupancy
Se1 0.595 0.405 0.750 1
Se2 0.405 0.595 0.250 1
Se3 0.174 0.826 0.750 1
Se4 0.826 0.174 0.250 1
Cu1 0.240 0.459 0.469 1
Cu2 0.541 0.760 0.031 1
Cu3 0.459 0.240 0.969 1
Cu4 0.760 0.541 0.531 1
Sn1 0.882 0.118 0.750 1
Sn2 0.118 0.882 0.250 1
```

[6]
## Cu5Sn2Se7 (GGA-PBE)

Data for crystalline Cu5Sn2Se7 at its relaxed geometry.

Properties
ΔE_f (raw)	-4.06	eV/f.u.
total magnetic moment	0.00	μB/cell
space group	No. 5
VASP energy	-4.07	eV per atom

CIF file:
```
data_Cu5Sn2Se7
_chemical_formula_sum 'Cu5 Sn2 Se7'
_symmetry_space_group_name_H-M 'P 1'
_symmetry_Int_Tables_number 1
_symmetry_space_group_name_Hall 'P 1'
_cell_length_a 7.020
_cell_length_b 7.020
_cell_length_c 9.064
_cell_angle_alpha 82.65
_cell_angle_beta 82.65
_cell_angle_gamma 48.09
loop_
_atom_site_label
_atom_site_fract_x
_atom_site_fract_y
_atom_site_fract_z
_atom_site_occupancy
Se1 0.650 0.646 0.557 1
Se2 0.744 0.809 0.139 1
Se3 0.513 0.487 0.000 1
Se4 0.191 0.256 0.861 1
Se5 0.886 0.951 0.708 1
Se6 0.354 0.350 0.443 1
Se7 0.049 0.114 0.292 1
Cu1 0.595 0.113 0.926 1
Cu2 0.022 0.551 0.642 1
Cu3 0.732 0.268 0.500 1
Cu4 0.887 0.405 0.074 1
Cu5 0.449 0.978 0.358 1
Sn1 0.149 0.702 0.224 1
Sn2 0.298 0.851 0.776 1
```

[7]
## CuSn2Se2 (GGA-PBE)

Data for crystalline CuSn2Se2 at its relaxed geometry.

Properties
ΔE_f (raw)	-0.04	eV/f.u.
total magnetic moment	0.00	μB/cell
space group	No. 127
VASP energy	-3.82	eV per atom

CIF file:
```
data_CuSn2Se2
_chemical_formula_sum 'Cu2 Sn4 Se4'
_symmetry_space_group_name_H-M 'P 1'
_symmetry_Int_Tables_number 1
_symmetry_space_group_name_Hall 'P 1'
_cell_length_a 7.078
_cell_length_b 7.078
_cell_length_c 4.818
_cell_angle_alpha 90.00
_cell_angle_beta 90.00
_cell_angle_gamma 90.00
loop_
_atom_site_label
_atom_site_fract_x
_atom_site_fract_y
_atom_site_fract_z
_atom_site_occupancy
Sn1 0.840 0.340 0.500 1
Sn2 0.660 0.840 0.500 1
Sn3 0.160 0.660 0.500 1
Sn4 0.340 0.160 0.500 1
Cu1 0.000 0.000 0.000 1
Cu2 0.500 0.500 0.000 1
Se1 0.689 0.189 0.000 1
Se2 0.311 0.811 0.000 1
Se3 0.189 0.311 0.000 1
Se4 0.811 0.689 0.000 1
```

[8]
## CuSn2Se3 (GGA-PBE)

Data for crystalline CuSn2Se3 at its relaxed geometry.

Properties
ΔE_f (raw)	-1.71	eV/f.u.
total magnetic moment	0.00	μB/cell
space group	No. 62
VASP energy	-4.04	eV per atom

CIF file:
```
data_CuSn2Se3
_chemical_formula_sum 'Cu4 Sn8 Se12'
_symmetry_space_group_name_H-M 'P 1'
_symmetry_Int_Tables_number 1
_symmetry_space_group_name_Hall 'P 1'
_cell_length_a 4.027
_cell_length_b 8.383
_cell_length_c 18.238
_cell_angle_alpha 90.00
_cell_angle_beta 90.00
_cell_angle_gamma 90.00
loop_
_atom_site_label
_atom_site_fract_x
_atom_site_fract_y
_atom_site_fract_z
_atom_site_occupancy
Se1 0.750 0.664 0.228 1
Se2 0.750 0.388 0.076 1
Se3 0.750 0.164 0.272 1
Se4 0.250 0.836 0.728 1
Se5 0.750 0.516 0.593 1
Se6 0.750 0.888 0.424 1
Se7 0.250 0.484 0.407 1
Se8 0.250 0.112 0.576 1
Se9 0.250 0.336 0.772 1
Se10 0.250 0.612 0.924 1
Se11 0.250 0.984 0.093 1
Se12 0.750 0.016 0.907 1
Sn1 0.750 0.720 0.017 1
Sn2 0.250 0.401 0.260 1
Sn3 0.750 0.220 0.483 1
Sn4 0.250 0.901 0.240 1
Sn5 0.250 0.780 0.517 1
Sn6 0.750 0.099 0.760 1
Sn7 0.250 0.280 0.983 1
Sn8 0.750 0.599 0.740 1
Cu1 0.250 0.877 0.861 1
Cu2 0.250 0.377 0.639 1
Cu3 0.750 0.623 0.361 1
Cu4 0.750 0.123 0.139 1
```